The following is a GGA-PBEsol calculation of an optimized crystal structure of TlZn3Pb, from the Alexandria database.

Total magnetization ... 0.00 μB per cell
Energy of formation ... 3.21 eV per formula unit
Space-group type ... Pm-3m
N(E_F) ... 0.564 states/eV/atom

Geometry as POSCAR:
```
TlZn3Pb
1.0
5.071 0.000 0.000
0.000 5.071 0.000
0.000 0.000 5.071
Tl Zn Pb
1 3 1
Direct
0.000 0.000 0.000
0.000 0.000 0.500
0.000 0.500 0.000
0.500 0.000 0.000
0.500 0.500 0.500
```

***

The following is a GGA-PBEsol calculation of an optimized crystal structure of LaBi2Br, from the Alexandria database.

Total magnetization ... 0.00 μB per cell
Space-group type ... Fm-3m
N(E_F) ... 1.040 states/eV/atom
Uncorrected formation energy ... -0.29 eV/atom

Geometry as POSCAR:
```
LaBi2Br
1.0
0.000 3.931 3.931
3.931 0.000 3.931
3.931 3.931 0.000
La Bi Br
1 2 1
Direct
0.000 0.000 0.000
0.250 0.250 0.250
0.750 0.750 0.750
0.500 0.500 0.500
```

***

The following is a GGA-PBEsol calculation of an optimized crystal structure of CrSb2Pt, from the Alexandria database.

Total magnetization ... 3.16 μB per cell
E above lowest polymorph ... 0.22 eV/f.u.
Space-group type ... Cmmm
N(E_F) ... 0.693 states/eV/atom
Uncorrected formation energy ... 0.22 eV/atom

Geometry as POSCAR:
```
CrSb2Pt
1.0
2.216 -2.543 0.000
2.216 2.543 0.000
0.000 0.000 6.685
Cr Sb Pt
1 2 1
Direct
0.000 0.000 0.000
0.500 0.500 0.249
0.500 0.500 0.751
0.000 0.000 0.500
```

***

The following is a GGA-PBEsol calculation of an optimized crystal structure of LaMo3Ir, from the Alexandria database.

Total magnetization ... 2.00 μB per cell
Energy of formation ... 5.64 eV per formula unit
Space-group type ... Pm-3m
N(E_F) ... 1.280 states/eV/atom

Geometry as POSCAR:
```
LaMo3Ir
1.0
4.797 0.000 0.000
0.000 4.797 0.000
0.000 0.000 4.797
La Mo Ir
1 3 1
Direct
0.000 0.000 0.000
0.000 0.500 0.500
0.500 0.000 0.500
0.500 0.500 0.000
0.500 0.500 0.500
```

***

The following is a GGA-PBEsol calculation of an optimized crystal structure of Li3Fe2CoO6, from the Alexandria database.

Total magnetization ... 2.00 μB per cell
Space-group type ... C2/m
N(E_F) ... 0.573 states/eV/atom
Uncorrected formation energy ... -1.56 eV/atom

Geometry as POSCAR:
```
Li3Fe2CoO6
1.0
2.433 -4.228 0.000
2.433 4.228 0.000
-1.624 0.000 4.625
Li Fe Co O
3 2 1 6
Direct
0.000 0.000 0.000
0.335 0.665 0.000
0.665 0.335 0.000
0.167 0.833 0.500
0.833 0.167 0.500
0.500 0.500 0.500
0.095 0.426 0.279
0.240 0.240 0.719
0.426 0.095 0.279
0.574 0.905 0.721
0.760 0.760 0.281
0.905 0.574 0.721
```

***

The following is a GGA-PBEsol calculation of an optimized crystal structure of K2SiRu, from the Alexandria database.

Total magnetization ... 0.00 μB per cell
Space-group type ... F-43m
N(E_F) ... 0.557 states/eV/atom
Uncorrected formation energy ... 0.96 eV/atom

Geometry as POSCAR:
```
K2SiRu
1.0
0.000 3.447 3.447
3.447 0.000 3.447
3.447 3.447 0.000
K Si Ru
2 1 1
Direct
0.000 0.000 0.000
0.250 0.250 0.250
0.750 0.750 0.750
0.500 0.500 0.500
```